Density functional theory data (PBE-GGA) for a relaxed structure of In2AgPb.

Summary:
DOS(E_F) = 0.7375 states/eV per atom
Total magnetic moment = 0.0 μB per formula unit

abc: 5.2802 5.2802 5.2802
angles: 60.00 60.00 60.00
Atoms (fractional coordinates):
1 In 0.0000 0.0000 0.0000
2 Pb 0.2500 0.2500 0.2500
3 In 0.7500 0.7500 0.7500
4 Ag 0.5000 0.5000 0.5000

=====

Density functional theory data (PBE-GGA) for a relaxed structure of In4AgPb.

Summary:
DOS(E_F) = 0.4805 states/eV per atom
Total magnetic moment = 0.0 μB per formula unit
E above lowest polymorph = 3.296 kcal/mol of atoms

abc: 6.1599 6.1599 6.1599
angles: 60.00 60.00 60.00
Atoms (fractional coordinates):
1 In 0.3747 0.3747 0.8759
2 In 0.8759 0.3747 0.3747
3 Ag 0.0000 0.0000 0.0000
4 In 0.3747 0.3747 0.3747
5 Pb 0.7500 0.7500 0.7500
6 In 0.3747 0.8759 0.3747

=====

Density functional theory data (PBE-GGA) for a relaxed structure of InAgPb2.

Summary:
DOS(E_F) = 0.5074 states/eV per atom
Total magnetic moment = 0.0 μB per formula unit

abc: 6.0678 6.0678 5.7711
angles: 72.29 72.29 32.43
Atoms (fractional coordinates):
1 Pb 0.4782 0.4782 0.5154
2 Pb 0.0218 0.0218 0.9846
3 Ag 0.7500 0.7500 0.7500
4 In 0.2500 0.2500 0.2500

=====

Density functional theory data (PBE-GGA) for a relaxed structure of In5AgPb.

Summary:
DOS(E_F) = 0.5122 states/eV per atom
Total magnetic moment = 0.0 μB per formula unit

abc: 4.8598 4.8598 8.0873
angles: 90.00 90.00 90.00
Atoms (fractional coordinates):
1 In 0.5000 0.0000 0.7053
2 In 0.0000 0.5000 0.2947
3 Ag 0.0000 0.0000 0.5000
4 In 0.5000 0.0000 0.2947
5 In 0.0000 0.5000 0.7053
6 Pb 0.0000 0.0000 0.0000
7 In 0.5000 0.5000 0.0000

=====

Density functional theory data (PBE-GGA) for a relaxed structure of InAgPb2.

Summary:
DOS(E_F) = 0.4877 states/eV per atom
Total magnetic moment = 0.0 μB per formula unit

abc: 3.3930 4.4279 7.1295
angles: 90.00 90.00 90.00
Atoms (fractional coordinates):
1 Ag 0.5000 0.5000 0.2500
2 Pb 0.0000 0.0000 0.4830
3 In 0.5000 0.5000 0.7500
4 Pb 0.0000 0.0000 0.0170

=====

Density functional theory data (PBE-GGA) for a relaxed structure of InAgPb2.

Summary:
DOS(E_F) = 0.3808 states/eV per atom
Total magnetic moment = 0.0 μB per formula unit

abc: 5.9704 5.9163 5.9703
angles: 133.79 134.01 67.42
Atoms (fractional coordinates):
1 In 0.7500 0.2489 0.4990
2 Pb 0.0000 0.9987 0.9987
3 Pb 0.2500 0.7516 0.5016
4 Ag 0.5001 0.5008 0.0006

=====

Density functional theory data (PBE-GGA) for a relaxed structure of In2AgPb.

Summary:
DOS(E_F) = 0.5690 states/eV per atom
Total magnetic moment = 0.0 μB per formula unit

abc: 3.3576 3.3576 9.0805
angles: 90.00 90.00 93.36
Atoms (fractional coordinates):
1 In 0.5000 0.5000 0.2334
2 Pb 0.0000 0.0000 0.5304
3 Ag 0.5000 0.5000 0.7643
4 In 0.0000 0.0000 0.9719

=====

Density functional theory data (PBE-GGA) for a relaxed structure of InAgPb2.

Summary:
DOS(E_F) = 0.3210 states/eV per atom
Total magnetic moment = 0.0 μB per formula unit

abc: 3.3958 3.5300 8.8864
angles: 90.00 90.00 90.00
Atoms (fractional coordinates):
1 Pb 0.5000 0.5000 0.2861
2 In 0.5000 0.5000 0.7117
3 Ag 0.0000 0.0000 0.5146
4 Pb 0.0000 0.0000 0.9876

=====

Density functional theory data (PBE-GGA) for a relaxed structure of In2AgPb.

Summary:
DOS(E_F) = 0.2287 states/eV per atom
Total magnetic moment = 0.0 μB per formula unit

abc: 5.0337 3.5500 5.8910
angles: 80.91 90.00 90.00
Atoms (fractional coordinates):
1 Ag 0.5000 0.7500 0.7500
2 In 0.0000 0.9148 0.9814
3 In 0.0000 0.5852 0.5186
4 Pb 0.5000 0.2500 0.2500

=====

Density functional theory data (PBE-GGA) for a relaxed structure of In2AgPb.

Summary:
DOS(E_F) = 0.5224 states/eV per atom
Total magnetic moment = 0.0 μB per formula unit

abc: 4.7001 4.7001 6.3494
angles: 68.28 68.28 60.00
Atoms (fractional coordinates):
1 In 0.2719 0.2719 0.1844
2 Pb 0.4927 0.4927 0.5219
3 In 0.0613 0.0613 0.8160
4 Ag 0.6741 0.6741 0.9776

=====

Density functional theory data (PBE-GGA) for a relaxed structure of In2AgPb.

Summary:
DOS(E_F) = 0.5413 states/eV per atom
Total magnetic moment = 0.0 μB per formula unit

abc: 5.5547 5.5547 3.4913
angles: 90.00 90.00 107.62
Atoms (fractional coordinates):
1 In 0.0000 0.0000 0.0000
2 Ag 0.0000 0.5000 0.5000
3 Pb 0.5000 0.0000 0.5000
4 In 0.5000 0.5000 0.0000

=====

Density functional theory data (PBE-GGA) for a relaxed structure of InAgPb2.

Summary:
DOS(E_F) = 0.5139 states/eV per atom
Total magnetic moment = 0.0 μB per formula unit

abc: 10.5943 10.5943 10.5943
angles: 18.81 18.81 18.81
Atoms (fractional coordinates):
1 Pb 0.0038 0.0038 0.0038
2 In 0.7606 0.7606 0.7606
3 Pb 0.2395 0.2395 0.2395
4 Ag 0.4961 0.4961 0.4961

=====

no.,E_tot (eV/atom),DFT formation energy (eV per formula unit)
1,-2.8856,0.5
2,-2.7217,1.2
3,-3.1579,0.4
4,-2.8473,0.3
5,-3.1686,0.3
6,-3.1627,0.4
7,-2.9673,0.2
8,-3.2178,0.1
9,-2.9376,0.3
10,-2.9362,0.3
11,-2.9198,0.4
12,-3.1905,0.2